#P
DFT (GGA-PBE) results for a geometry-optimized LiZr2Tc structure.

```
LiZr2Tc
1.0
-3.6177 2.5547 -1.3390
-1.5019 -3.5022 -2.6242
-1.7859 -1.1729 2.5875
Tc Zr Li
1 2 1
Direct
0.5000 0.5000 0.0000 Tc
0.5000 0.0000 0.5000 Zr
0.0000 0.5000 0.5000 Zr
0.0000 0.0000 0.0000 Li
```

***

#Q
DFT (GGA-PBE) results for a geometry-optimized LiZr2Tc structure.

```
LiZr2Tc
1.0
2.1042 -3.6446 0.0000
2.1042 3.6446 0.0000
0.0000 0.0000 11.5196
Zr Tc Li
4 2 2
Direct
0.6667 0.3333 0.4065 Zr
0.3333 0.6667 0.9065 Zr
0.3333 0.6667 0.5935 Zr
0.6667 0.3333 0.0935 Zr
0.0000 0.0000 0.5000 Tc
0.0000 0.0000 0.0000 Tc
0.3333 0.6667 0.2500 Li
0.6667 0.3333 0.7500 Li
```

***

#R
DFT (GGA-PBE) results for a geometry-optimized LiZr2Tc structure.

```
LiZr2Tc
1.0
2.1869 -3.7877 0.0000
2.1869 3.7877 0.0000
0.0000 0.0000 8.7943
Zr Tc Li
4 2 2
Direct
0.3333 0.6667 0.0884 Zr
0.3333 0.6667 0.4116 Zr
0.6667 0.3333 0.5884 Zr
0.6667 0.3333 0.9116 Zr
0.0000 0.0000 0.7500 Tc
0.0000 0.0000 0.2500 Tc
0.6667 0.3333 0.2500 Li
0.3333 0.6667 0.7500 Li
```

***

#S
DFT (GGA-PBE) results for a geometry-optimized LiZr2Tc structure.

```
LiZr2Tc
1.0
7.3238 0.0000 0.0000
0.0000 8.3446 0.0000
0.0000 0.0000 4.9151
Li Zr Tc
4 8 4
Direct
0.2495 0.2500 0.9980 Li
0.7495 0.7500 0.5020 Li
0.2505 0.2500 0.4980 Li
0.7505 0.7500 0.0020 Li
0.6063 0.4376 0.2500 Zr
0.3937 0.5624 0.7500 Zr
0.1063 0.9376 0.2500 Zr
0.1063 0.5624 0.2500 Zr
0.6063 0.0624 0.2500 Zr
0.3937 0.9376 0.7500 Zr
0.8937 0.4376 0.7500 Zr
0.8937 0.0624 0.7500 Zr
0.4055 0.7500 0.2501 Tc
0.0945 0.7500 0.7501 Tc
0.9055 0.2500 0.2499 Tc
0.5945 0.2500 0.7499 Tc
```

***

Most stable of them? #P.

***

#P
DFT (GGA-PBE) results for a geometry-optimized LiTmTe structure.

```
LiTmTe
1.0
2.4140 1.3937 3.9420
-2.4140 1.3937 3.9420
0.0000 -2.7874 3.9420
Li Te Tm
1 1 1
Direct
0.2500 0.2500 0.2500 Li
0.0000 0.0000 0.0000 Te
0.7500 0.7500 0.7500 Tm
```

***

#Q
DFT (GGA-PBE) results for a geometry-optimized LiTmTe structure.

```
LiTmTe
1.0
0.0000 3.4898 3.4898
3.4898 0.0000 3.4898
3.4898 3.4898 0.0000
Te Tm Li
1 1 1
Direct
0.7500 0.7500 0.7500 Te
0.0000 0.0000 0.0000 Tm
0.2500 0.2500 0.2500 Li
```

***

Most stable of them? #P.

***

#P
DFT (GGA-PBE) results for a geometry-optimized LiTmZnTe3 structure.

```
LiTmZnTe3
1.0
-2.7940 -9.4076 -5.7147
-5.4930 -1.3407 4.8928
-7.1747 1.0081 1.8484
Te Tm Li Zn
6 2 2 2
Direct
0.6796 0.6425 0.6425 Te
0.8204 0.3575 0.3575 Te
0.5000 0.9060 0.9060 Te
0.1796 0.3575 0.3575 Te
0.3204 0.6425 0.6425 Te
0.0000 0.0940 0.0940 Te
0.2500 0.0000 0.0000 Tm
0.7500 0.0000 0.0000 Tm
0.5000 0.2028 0.2028 Li
0.0000 0.7972 0.7972 Li
0.5000 0.5227 0.5227 Zn
0.0000 0.4773 0.4773 Zn
```

***

#Q
DFT (GGA-PBE) results for a geometry-optimized LiTmZnTe3 structure.

```
LiTmZnTe3
1.0
-2.2864 3.3533 -1.2418
-10.3413 -5.2920 4.7503
2.2723 5.7560 11.3591
Te Li Tm Zn
12 4 4 4
Direct
0.7500 0.0850 0.4214 Te
0.7500 0.2773 0.6557 Te
0.2500 0.9150 0.5786 Te
0.7500 0.5850 0.0786 Te
0.2500 0.4150 0.9214 Te
0.7500 0.4339 0.3634 Te
0.2500 0.5661 0.6366 Te
0.7500 0.7773 0.8443 Te
0.2500 0.7227 0.3443 Te
0.2500 0.2227 0.1557 Te
0.2500 0.0661 0.8634 Te
0.7500 0.9339 0.1366 Te
0.7500 0.1273 0.0085 Li
0.7500 0.6273 0.4915 Li
0.2500 0.8727 0.9915 Li
0.2500 0.3727 0.5085 Li
0.2500 0.9613 0.3095 Tm
0.7500 0.5387 0.8095 Tm
0.2500 0.4613 0.1905 Tm
0.7500 0.0387 0.6905 Tm
0.7500 0.2355 0.2836 Zn
0.2500 0.2645 0.7836 Zn
0.2500 0.7645 0.7164 Zn
0.7500 0.7355 0.2164 Zn
```

***

Most stable of them? #P.

***

#P
DFT (GGA-PBE) results for a geometry-optimized LiThW structure.

```
LiThW
1.0
0.0000 3.2829 3.2829
3.2829 0.0000 3.2829
3.2829 3.2829 0.0000
W Th Li
1 1 1
Direct
0.7500 0.7500 0.7500 W
0.0000 0.0000 0.0000 Th
0.2500 0.2500 0.2500 Li
```

***

#Q
DFT (GGA-PBE) results for a geometry-optimized LiThW structure.

```
LiThW
1.0
-0.8509 -4.3306 0.5821
-2.2793 -1.3598 3.5739
-4.1537 -1.5338 -0.4601
Th W Li
1 1 1
Direct
0.2500 0.2500 0.2500 Th
0.7500 0.7500 0.7500 W
0.0000 0.0000 0.0000 Li
```

***

Most stable of them? #Q.